1.
# YSeBr3 | Alexandria via LeMat-Bulk | PBE | optimized geometry
# E: -14.97 eV/cell
# ρ: 4.21 g cm⁻³
# ΔE to the lowest computed polymorph: 0.912 eV per atom
# ΔE_f (raw): 0.00 eV per atom
data_YSeBr3
_symmetry_space_group_name_H-M 'P 1'
_symmetry_Int_Tables_number 1
_symmetry_space_group_name_Hall 'P 1'
_cell_length_a 5.439
_cell_length_b 5.439
_cell_length_c 5.439
_cell_angle_alpha 90.00
_cell_angle_beta 90.00
_cell_angle_gamma 90.00
loop_
_atom_site_label
_atom_site_type_symbol
_atom_site_fract_x
_atom_site_fract_y
_atom_site_fract_z
_atom_site_occupancy
Y1 Y 0.500 0.500 0.500 1
Br1 Br 0.500 0.000 0.000 1
Br2 Br 0.000 0.500 0.000 1
Br3 Br 0.000 0.000 0.500 1
Se1 Se 0.000 0.000 0.000 1

2.
# Y4SeBr | Alexandria via LeMat-Bulk | PBE | optimized geometry
# E: -30.38 eV/cell
# ρ: 4.52 g cm⁻³
# ΔE_f (raw): 0.11 eV per atom
data_Y4SeBr
_symmetry_space_group_name_H-M 'P 1'
_symmetry_Int_Tables_number 1
_symmetry_space_group_name_Hall 'P 1'
_cell_length_a 6.441
_cell_length_b 6.441
_cell_length_c 6.441
_cell_angle_alpha 60.00
_cell_angle_beta 60.00
_cell_angle_gamma 60.00
loop_
_atom_site_label
_atom_site_type_symbol
_atom_site_fract_x
_atom_site_fract_y
_atom_site_fract_z
_atom_site_occupancy
Br1 Br 0.750 0.750 0.750 1
Y1 Y 0.374 0.877 0.374 1
Y2 Y 0.374 0.374 0.374 1
Y3 Y 0.877 0.374 0.374 1
Y4 Y 0.374 0.374 0.877 1
Se1 Se 0.000 0.000 0.000 1

3.
# Y3SeBr7 | Alexandria via LeMat-Bulk | PBE | optimized geometry
# E: -55.10 eV/cell
# ρ: 3.64 g cm⁻³
# ΔE_f (raw): -1.87 eV per atom
data_Y3SeBr7
_symmetry_space_group_name_H-M 'P 1'
_symmetry_Int_Tables_number 1
_symmetry_space_group_name_Hall 'P 1'
_cell_length_a 6.897
_cell_length_b 8.308
_cell_length_c 8.308
_cell_angle_alpha 120.00
_cell_angle_beta 90.00
_cell_angle_gamma 90.00
loop_
_atom_site_label
_atom_site_type_symbol
_atom_site_fract_x
_atom_site_fract_y
_atom_site_fract_z
_atom_site_occupancy
Br1 Br 0.012 0.173 0.827 1
Br2 Br 0.560 0.347 0.174 1
Br3 Br 0.017 0.667 0.333 1
Br4 Br 0.560 0.826 0.174 1
Br5 Br 0.560 0.826 0.653 1
Br6 Br 0.012 0.173 0.346 1
Br7 Br 0.012 0.654 0.827 1
Y1 Y 0.776 0.494 0.988 1
Y2 Y 0.776 0.012 0.506 1
Y3 Y 0.776 0.494 0.506 1
Se1 Se 0.554 0.333 0.667 1